## Tb3SmYTh (PBE)

Data for a relaxed Tb3SmYTh crystal.

## Properties
Its space group is P2_1/m (11). Its crystal system is monoclinic. The calculation puts the raw total energy at -64.63 eV/cell. For the density of states at the Fermi level, the calculation gives 17.99 states/eV/cell. The formation energy is 0.03 eV per atom.

The structure in CIF format:
```
data_Tb3SmYTh
_chemical_formula_sum 'Tb6 Sm2 Y2 Th2'
_space_group_name_H-M_alt 'P 1'
_space_group_IT_number 1
_space_group_name_Hall 'P 1'
_cell_length_a 7.977
_cell_length_b 5.077
_cell_length_c 10.147
_cell_angle_alpha 90.00
_cell_angle_beta 108.58
_cell_angle_gamma 90.00
loop_
_atom_site_label
_atom_site_type_symbol
_atom_site_fract_x
_atom_site_fract_y
_atom_site_fract_z
Tb1 Tb 0.167 0.250 0.043
Tb2 Tb 0.168 0.750 0.791
Tb3 Tb 0.175 0.250 0.543
Tb4 Tb 0.825 0.750 0.457
Tb5 Tb 0.832 0.250 0.209
Tb6 Tb 0.833 0.750 0.957
Sm1 Sm 0.500 0.250 0.872
Sm2 Sm 0.500 0.750 0.128
Y1 Y 0.173 0.750 0.294
Y2 Y 0.827 0.250 0.706
Th1 Th 0.500 0.250 0.378
Th2 Th 0.500 0.750 0.622
```